(1)
KSr4W after structural relaxation. Source: Alexandria, functional GGA-PBE.

Values from the calculation:
* ΔE_f: 1189 meV per atom
* theoretical density: 3.3 g cm⁻³
* E: -13.6 eV per formula unit
* space group: F-43m (216)

Structure (extended XYZ):
```
6
Lattice="0.118 -7.408 -0.524 -0.454 -4.165 6.133 -6.157 -3.919 1.380" Properties=species:S:1:pos:R:3 pbc="T T T"
Sr -2.383 -9.500 2.368
Sr -5.496 -7.769 3.313
Sr -2.441 -5.824 2.628
Sr -2.667 -7.891 5.671
K 0.000 0.000 0.000
W -4.870 -11.619 5.242
```

(2)
K2SrW after structural relaxation. Source: Alexandria, functional GGA-PBE.

Values from the calculation:
* relative energy among the computed polymorphs: 81 kJ/mol of formula units
* ΔE_f: 1402 meV per atom
* theoretical density: 3.5 g cm⁻³
* E: -11.2 eV per formula unit
* space group: I4/mmm (139)

Structure (extended XYZ):
```
4
Lattice="7.367 0.000 0.000 3.866 6.271 0.000 -5.617 -3.136 3.591" Properties=species:S:1:pos:R:3 pbc="T T T"
W 3.684 0.000 1.796
K 0.000 0.000 0.000
K 5.617 3.136 0.000
Sr 1.933 3.136 1.796
```

(3)
K2SrW after structural relaxation. Source: Alexandria, functional GGA-PBE.

Values from the calculation:
* relative energy among the computed polymorphs: 81 kJ/mol of formula units
* ΔE_f: 1401 meV per atom
* theoretical density: 3.5 g cm⁻³
* E: -11.2 eV per formula unit
* space group: P4/mmm (123)

Structure (extended XYZ):
```
4
Lattice="5.089 0.000 0.000 0.000 5.089 0.000 0.000 0.000 6.399" Properties=species:S:1:pos:R:3 pbc="T T T"
W 0.000 2.545 3.199
K 0.000 0.000 0.000
K 2.545 2.545 0.000
Sr 2.545 0.000 3.199
```

(4)
K2SrW after structural relaxation. Source: Alexandria, functional GGA-PBE.

Values from the calculation:
* relative energy among the computed polymorphs: 99 kJ/mol of formula units
* ΔE_f: 1448 meV per atom
* theoretical density: 3.6 g cm⁻³
* E: -11.0 eV per formula unit
* space group: C2/m (12)

Structure (extended XYZ):
```
4
Lattice="7.692 0.018 0.007 -4.451 6.274 0.007 0.875 1.699 3.343" Properties=species:S:1:pos:R:3 pbc="T T T"
K 0.000 0.000 0.000
K 1.621 3.146 0.007
W -1.788 3.987 1.675
Sr 4.284 0.859 1.675
```

Q: The highest E belongs to which entry?
A: number 4

Q: What is the formula in the third record?
A: K2SrW